1.
First-principles (PBE) data for RbN2Cl after structural relaxation, as listed in Alexandria via LeMat-Bulk.

Cell: 6.430 5.892 9.710 Å, 90.00 108.92 90.00°
Last column: magnetic moment on the atom in μB.
Sites, in units of the cell vectors:
N 0.421 0.656 0.344  0.00
Cl 0.212 0.750 0.923  0.07
Rb 0.716 0.750 0.931  0.00
N 0.579 0.156 0.656  0.00
Rb 0.284 0.250 0.069  0.00
Cl 0.788 0.250 0.077  0.07
N 0.579 0.344 0.656  0.00
N 0.421 0.844 0.344  0.00

Summary:
volume	348.0	Å³/cell
SG	No. 11
energy relative to the elements, uncorrected	-906	meV per atom
energy above the lowest structure with this stoichiometry	0	meV/atom
energy	-5.772	eV/atom


2.
First-principles (PBE) data for Pu3PCl7 after structural relaxation, as listed in Alexandria via LeMat-Bulk.

Cell: 6.478 8.245 8.245 Å, 120.00 90.00 90.00°
Last column: magnetic moment on the atom in μB.
Sites, in units of the cell vectors:
Cl 0.000 0.651 0.825  -0.06
P 0.573 0.333 0.667  -0.29
Pu 0.780 0.008 0.504  4.92
Cl 0.563 0.822 0.644  -0.05
Cl 0.563 0.822 0.178  -0.05
Cl 0.563 0.356 0.178  -0.05
Cl 0.012 0.667 0.333  -0.07
Cl 0.000 0.175 0.825  -0.06
Pu 0.780 0.496 0.504  4.92
Pu 0.780 0.496 0.992  4.92
Cl 0.000 0.175 0.349  -0.06

Summary:
volume	381.4	Å³/cell
SG	No. 156
energy relative to the elements, uncorrected	-1627	meV per atom
energy	-7.203	eV/atom


3.
First-principles (PBE) data for CsGa3Tc after structural relaxation, as listed in Alexandria via LeMat-Bulk.

Cell: 5.806 5.806 5.806 Å, 90.00 90.00 90.00°
Last column: magnetic moment on the atom in μB.
Sites, in units of the cell vectors:
Tc 0.500 0.500 0.500  3.58
Ga 0.500 0.000 0.000  -0.16
Ga 0.000 0.500 0.000  -0.10
Ga 0.000 0.000 0.500  -0.05
Cs 0.000 0.000 0.000  -0.08

Summary:
volume	195.7	Å³/cell
SG	No. 221
energy above the lowest structure with this stoichiometry	2167	meV/atom
energy	-1.988	eV/atom


4.
First-principles (PBE) data for BaScF3 after structural relaxation, as listed in Alexandria via LeMat-Bulk.

Cell: 5.054 5.054 5.054 Å, 90.00 90.00 90.00°
Last column: magnetic moment on the atom in μB.
Sites, in units of the cell vectors:
F 0.000 0.500 0.000  0.02
F 0.500 0.000 0.000  0.02
Sc 0.500 0.500 0.500  1.21
Ba 0.000 0.000 0.000  0.00
F 0.000 0.000 0.500  0.01

Summary:
volume	129.1	Å³/cell
SG	No. 221
energy relative to the elements, uncorrected	-2293	meV per atom
energy above the lowest structure with this stoichiometry	538	meV/atom
energy	-5.067	eV/atom


5.
First-principles (PBE) data for AcHg3Pt3 after structural relaxation, as listed in Alexandria via LeMat-Bulk.

Cell: 7.418 7.418 7.418 Å, 90.00 90.00 90.00°
Sites, in units of the cell vectors:
Pt 0.000 0.500 0.750
Ac 0.000 0.000 0.000
Hg 0.000 0.750 0.500
Pt 0.000 0.500 0.250
Hg 0.500 0.000 0.750
Pt 0.500 0.750 0.000
Ac 0.500 0.500 0.500
Pt 0.750 0.000 0.500
Pt 0.500 0.250 0.000
Pt 0.250 0.000 0.500
Hg 0.500 0.000 0.250
Hg 0.250 0.500 0.000
Hg 0.750 0.500 0.000
Hg 0.000 0.250 0.500

Summary:
volume	408.1	Å³/cell
SG	No. 223
energy	-3.088	eV/atom


6.
First-principles (PBE) data for YZnCr after structural relaxation, as listed in Alexandria via LeMat-Bulk.

Cell: 3.405 3.405 6.573 Å, 90.00 90.00 120.00°
Last column: magnetic moment on the atom in μB.
Sites, in units of the cell vectors:
Cr 0.000 0.000 0.970  3.52
Y 0.667 0.333 0.337  -0.12
Zn 0.333 0.667 0.693  0.01

Summary:
volume	66.0	Å³/cell
SG	No. 156
energy	-5.357	eV/atom


7.
First-principles (PBE) data for CaIrRh2 after structural relaxation, as listed in Alexandria via LeMat-Bulk.

Cell: 4.614 2.843 5.252 Å, 79.99 90.00 90.00°
Last column: magnetic moment on the atom in μB.
Sites, in units of the cell vectors:
Ir 0.500 0.750 0.750  0.29
Rh 0.000 0.579 0.534  0.12
Rh 0.000 0.921 0.966  0.12
Ca 0.500 0.250 0.250  -0.01

Summary:
volume	67.8	Å³/cell
SG	No. 10
energy above the lowest structure with this stoichiometry	181	meV/atom
energy	-6.308	eV/atom


8.
First-principles (PBE) data for Nb3RuF after structural relaxation, as listed in Alexandria via LeMat-Bulk.

Cell: 4.279 4.279 4.279 Å, 90.00 90.00 90.00°
Sites, in units of the cell vectors:
Nb 0.000 0.500 0.000
Ru 0.500 0.500 0.500
Nb 0.000 0.000 0.500
Nb 0.500 0.000 0.000
F 0.000 0.000 0.000

Summary:
volume	78.3	Å³/cell
SG	No. 221
energy relative to the elements, uncorrected	53	meV per atom
energy above the lowest structure with this stoichiometry	0	meV/atom
energy	-8.218	eV/atom


9.
First-principles (PBE) data for TmThTa4 after structural relaxation, as listed in Alexandria via LeMat-Bulk.

Cell: 5.724 5.724 5.724 Å, 60.00 60.00 60.00°
Sites, in units of the cell vectors:
Ta 0.625 0.625 0.124
Tm 0.000 0.000 0.000
Ta 0.625 0.625 0.625
Ta 0.625 0.124 0.625
Ta 0.124 0.625 0.625
Th 0.250 0.250 0.250

Summary:
volume	132.6	Å³/cell
SG	No. 216
energy	-9.763	eV/atom


10.
First-principles (PBE) data for LiHo2CuO5 after structural relaxation, as listed in Alexandria via LeMat-Bulk.

Cell: 5.496 6.416 6.416 Å, 90.00 90.00 90.00°
Sites, in units of the cell vectors:
O 0.244 0.635 0.865
Cu 0.000 0.500 0.000
Ho 0.500 0.676 0.176
Li 0.000 0.000 0.000
Ho 0.500 0.324 0.824
O 0.756 0.865 0.365
O 0.756 0.365 0.135
O 0.500 0.000 0.000
O 0.244 0.135 0.635
O 0.756 0.635 0.865
Li 0.000 0.500 0.500
Ho 0.500 0.824 0.676
O 0.244 0.865 0.365
Cu 0.000 0.000 0.500
O 0.244 0.365 0.135
O 0.500 0.500 0.500
Ho 0.500 0.176 0.324
O 0.756 0.135 0.635

Summary:
volume	226.2	Å³/cell
SG	No. 127
energy relative to the elements, uncorrected	-2322	meV per atom
energy	-6.762	eV/atom


11.
First-principles (PBE) data for Mg4RuRh after structural relaxation, as listed in Alexandria via LeMat-Bulk.

Cell: 5.264 5.264 5.264 Å, 60.00 60.00 60.00°
Last column: magnetic moment on the atom in μB.
Sites, in units of the cell vectors:
Rh 0.750 0.750 0.750  0.06
Mg 0.375 0.876 0.375  0.00
Ru 0.000 0.000 0.000  0.25
Mg 0.876 0.375 0.375  0.00
Mg 0.375 0.375 0.375  0.00
Mg 0.375 0.375 0.876  0.00

Summary:
volume	103.2	Å³/cell
SG	No. 216
energy	-3.451	eV/atom


12.
First-principles (PBE) data for SnHI2 after structural relaxation, as listed in Alexandria via LeMat-Bulk.

Cell: 5.533 5.533 5.533 Å, 60.00 60.00 60.00°
Last column: magnetic moment on the atom in μB.
Sites, in units of the cell vectors:
H 0.000 0.000 0.000  0.35
I 0.250 0.250 0.250  0.04
Sn 0.500 0.500 0.500  0.02
I 0.750 0.750 0.750  0.04

Summary:
volume	119.8	Å³/cell
SG	No. 225
energy	-2.337	eV/atom


13.
First-principles (PBE) data for Ho8ZnAu2 after structural relaxation, as listed in Alexandria via LeMat-Bulk.

Cell: 5.097 6.835 9.205 Å, 105.74 106.07 90.00°
Sites, in units of the cell vectors:
Ho 0.667 0.974 0.334
Ho 0.592 0.457 0.185
Ho 0.029 0.780 0.059
Ho 0.333 0.026 0.666
Zn 0.500 0.000 0.000
Au 0.816 0.277 0.631
Ho 0.199 0.317 0.398
Ho 0.971 0.220 0.941
Ho 0.801 0.683 0.602
Ho 0.408 0.543 0.815
Au 0.184 0.723 0.369

Summary:
volume	295.6	Å³/cell
SG	No. 12
energy	-4.421	eV/atom


14.
First-principles (PBE) data for TbMnBr after structural relaxation, as listed in Alexandria via LeMat-Bulk.

Cell: 3.820 3.820 12.331 Å, 81.09 81.09 60.00°
Sites, in units of the cell vectors:
Mn 0.164 0.164 0.507
Br 0.278 0.278 0.165
Mn 0.836 0.836 0.493
Tb 0.442 0.442 0.674
Tb 0.558 0.558 0.326
Br 0.722 0.722 0.835

Summary:
volume	153.3	Å³/cell
SG	No. 166
energy relative to the elements, uncorrected	-892	meV per atom
energy	-6.049	eV/atom


15.
First-principles (PBE) data for Th3Si2Ni after structural relaxation, as listed in Alexandria via LeMat-Bulk.

Cell: 4.129 11.459 11.874 Å, 90.00 90.00 90.00°
Sites, in units of the cell vectors:
Th 0.250 0.711 0.214
Si 0.750 0.313 0.527
Th 0.750 0.879 0.446
Th 0.750 0.941 0.120
Th 0.250 0.059 0.880
Si 0.750 0.187 0.027
Si 0.250 0.009 0.304
Th 0.250 0.379 0.054
Th 0.250 0.789 0.714
Th 0.250 0.441 0.380
Si 0.250 0.491 0.804
Ni 0.750 0.630 0.370
Th 0.750 0.621 0.946
Ni 0.250 0.130 0.130
Th 0.750 0.289 0.786
Th 0.750 0.211 0.286
Ni 0.750 0.870 0.870
Si 0.250 0.687 0.473
Si 0.750 0.509 0.196
Th 0.250 0.121 0.554
Si 0.750 0.991 0.696
Th 0.750 0.559 0.620
Ni 0.250 0.370 0.630
Si 0.250 0.813 0.973

Summary:
volume	561.7	Å³/cell
SG	No. 62
energy relative to the elements, uncorrected	-666	meV per atom
energy	-7.147	eV/atom


16.
First-principles (PBE) data for Dy2Y2Ir3 after structural relaxation, as listed in Alexandria via LeMat-Bulk.

Cell: 4.812 4.807 8.403 Å, 89.97 106.68 119.99°
Sites, in units of the cell vectors:
Dy 0.247 0.624 0.872
Ir 0.500 0.250 0.751
Y 0.251 0.126 0.377
Dy 0.753 0.376 0.128
Ir 0.000 0.000 0.000
Y 0.749 0.874 0.623
Ir 0.500 0.750 0.249

Summary:
volume	158.8	Å³/cell
SG	No. 166
energy	-7.762	eV/atom


17.
First-principles (PBE) data for Hf3SbPb after structural relaxation, as listed in Alexandria via LeMat-Bulk.

Cell: 6.102 9.503 9.502 Å, 118.88 90.00 90.00°
Sites, in units of the cell vectors:
Hf 0.500 0.257 0.257
Hf 0.001 0.248 0.752
Hf 0.750 0.923 0.577
Pb 0.762 0.566 0.434
Sb 0.250 0.904 0.596
Hf 0.000 0.757 0.757
Sb 0.250 0.404 0.096
Pb 0.262 0.934 0.066
Hf 0.250 0.077 0.423
Sb 0.750 0.096 0.404
Hf 0.250 0.577 0.923
Pb 0.738 0.066 0.934
Pb 0.238 0.434 0.566
Hf 0.750 0.423 0.077
Sb 0.750 0.596 0.904
Hf 0.000 0.243 0.243
Hf 0.999 0.752 0.248
Hf 0.500 0.743 0.743
Hf 0.499 0.748 0.252
Hf 0.501 0.252 0.748

Summary:
volume	482.5	Å³/cell
SG	No. 64
energy relative to the elements, uncorrected	-136	meV per atom
energy above the lowest structure with this stoichiometry	0	meV/atom
energy	-7.674	eV/atom


18.
First-principles (PBE) data for MnAgAs2Br after structural relaxation, as listed in Alexandria via LeMat-Bulk.

Cell: 4.997 4.997 5.412 Å, 90.00 90.00 90.00°
Last column: magnetic moment on the atom in μB.
Sites, in units of the cell vectors:
Mn 0.500 0.500 0.500  4.49
As 0.000 0.500 0.000  -0.28
Ag 0.000 0.000 0.000  -0.05
As 0.500 0.000 0.000  -0.28
Br 0.000 0.000 0.500  -0.06

Summary:
volume	135.1	Å³/cell
SG	No. 123
energy relative to the elements, uncorrected	883	meV per atom
energy above the lowest structure with this stoichiometry	539	meV/atom
energy	-3.716	eV/atom


19.
First-principles (PBE) data for Ga2Ni4Rh after structural relaxation, as listed in Alexandria via LeMat-Bulk.

Cell: 3.160 3.160 9.351 Å, 99.73 99.73 90.00°
Last column: magnetic moment on the atom in μB.
Sites, in units of the cell vectors:
Ga 0.584 0.584 0.169  0.00
Ni 0.250 0.750 0.500  0.27
Ni 0.750 0.250 0.500  0.27
Rh 0.000 0.000 0.000  -0.03
Ga 0.416 0.416 0.831  0.00
Ni 0.853 0.853 0.707  0.07
Ni 0.147 0.147 0.293  0.07

Summary:
volume	90.7	Å³/cell
SG	No. 139
energy	-5.295	eV/atom


20.
First-principles (PBE) data for NaGe after structural relaxation, as listed in Alexandria via LeMat-Bulk.

Cell: 4.696 3.967 5.919 Å, 90.00 113.71 90.00°
Sites, in units of the cell vectors:
Ge 0.934 0.750 0.863
Na 0.352 0.250 0.706
Ge 0.066 0.250 0.137
Na 0.648 0.750 0.294

Summary:
volume	101.0	Å³/cell
SG	No. 11
energy	-3.089	eV/atom


21.
First-principles (PBE) data for Ba8NaAu2 after structural relaxation, as listed in Alexandria via LeMat-Bulk.

Cell: 6.786 9.413 9.413 Å, 111.03 97.22 97.22°
Sites, in units of the cell vectors:
Au 0.000 0.315 0.685
Ba 0.286 0.617 0.617
Au 0.000 0.685 0.315
Ba 0.714 0.383 0.383
Ba 0.500 0.745 0.255
Ba 0.500 0.255 0.745
Ba 0.096 0.061 0.334
Ba 0.904 0.939 0.666
Ba 0.904 0.666 0.939
Ba 0.096 0.334 0.061
Na 0.500 0.000 0.000

Summary:
volume	547.2	Å³/cell
SG	No. 12
energy above the lowest structure with this stoichiometry	5	meV/atom
energy	-2.352	eV/atom


22.
First-principles (PBE) data for Mg2TlCd4 after structural relaxation, as listed in Alexandria via LeMat-Bulk.

Cell: 5.751 5.751 6.306 Å, 109.02 109.02 92.72°
Sites, in units of the cell vectors:
Cd 0.500 0.000 0.000
Cd 0.000 0.500 0.000
Mg 0.600 0.600 0.307
Mg 0.400 0.400 0.693
Cd 0.817 0.183 0.500
Tl 0.000 0.000 0.000
Cd 0.183 0.817 0.500

Summary:
volume	183.6	Å³/cell
SG	No. 12
energy	-1.206	eV/atom


23.
First-principles (PBE) data for LaNd4Al after structural relaxation, as listed in Alexandria via LeMat-Bulk.

Cell: 5.511 6.897 6.695 Å, 98.60 65.70 66.45°
Sites, in units of the cell vectors:
Nd 0.649 0.709 0.993
Nd 0.351 0.291 0.007
Nd 0.866 0.839 0.429
Nd 0.134 0.161 0.571
La 0.500 0.500 0.500
Al 0.000 0.000 0.000

Summary:
volume	197.0	Å³/cell
SG	No. 12
energy above the lowest structure with this stoichiometry	31	meV/atom
energy	-4.686	eV/atom